CaNdCd: optimized geometry, PBE-GGA. Values from VASP.

Structure (Quantum ESPRESSO input):
```
&SYSTEM
  ibrav = 0, nat = 6, ntyp = 3
/
ATOMIC_SPECIES
Cd 112.41 Cd.upf
Nd 144.24 Nd.upf
Ca 40.08 Ca.upf
CELL_PARAMETERS angstrom
5.5425 0.0000 0.0000
-2.7712 4.8053 0.0000
0.0000 0.0000 7.0215
ATOMIC_POSITIONS crystal
Cd 0.3338 0.6677 0.2500
Cd 0.6662 0.3323 0.7500
Nd 0.6670 0.3340 0.2500
Nd 0.3330 0.6660 0.7500
Ca 0.0000 0.0000 0.5000
Ca 0.0000 0.0000 0.0000
```

The formation energy comes out at -0.585 eV per formula unit. The calculation puts the density of states at the Fermi level at 9.93 states/eV/cell. For the offset from the most stable computed form, the calculation gives 0 meV per atom.



CaNd12Cd6: optimized geometry, PBE-GGA. Values from VASP.

Structure (Quantum ESPRESSO input):
```
&SYSTEM
  ibrav = 0, nat = 19, ntyp = 3
/
ATOMIC_SPECIES
Cd 112.41 Cd.upf
Nd 144.24 Nd.upf
Ca 40.08 Ca.upf
CELL_PARAMETERS angstrom
8.2769 0.7587 0.9089
-0.5049 8.2963 0.9089
-0.5049 -0.5882 8.3252
ATOMIC_POSITIONS crystal
Cd 0.2632 0.7391 0.8872
Cd 0.8872 0.2632 0.7391
Cd 0.2609 0.1128 0.7368
Cd 0.7368 0.2609 0.1128
Cd 0.1128 0.7368 0.2609
Cd 0.7391 0.8872 0.2632
Nd 0.0376 0.1584 0.3884
Nd 0.1584 0.3884 0.0376
Nd 0.5686 0.1928 0.4682
Nd 0.5318 0.4314 0.8072
Nd 0.8416 0.6116 0.9624
Nd 0.6116 0.9624 0.8416
Nd 0.4314 0.8072 0.5318
Nd 0.9624 0.8416 0.6116
Nd 0.1928 0.4682 0.5686
Nd 0.4682 0.5686 0.1928
Nd 0.3884 0.0376 0.1584
Nd 0.8072 0.5318 0.4314
Ca 0.0000 0.0000 0.0000
```

The formation energy comes out at -1.796 eV per formula unit. The calculation puts the density of states at the Fermi level at 25.75 states/eV/cell.



CaNd2CdO: optimized geometry, PBE-GGA. Values from VASP.

Structure (Quantum ESPRESSO input):
```
&SYSTEM
  ibrav = 0, nat = 5, ntyp = 4
/
ATOMIC_SPECIES
Cd 112.41 Cd.upf
O 16.00 O.upf
Nd 144.24 Nd.upf
Ca 40.08 Ca.upf
CELL_PARAMETERS angstrom
4.8286 0.0000 0.0000
0.0000 5.0235 0.0000
0.0000 0.0000 5.0235
ATOMIC_POSITIONS crystal
Cd 0.5000 0.5000 0.5000
O 0.0000 0.0000 0.0000
Nd 0.0000 0.0000 0.5000
Nd 0.0000 0.5000 0.0000
Ca 0.5000 0.0000 0.0000
```

The calculation puts the density of states at the Fermi level at 4.26 states/eV/cell. For the uncorrected formation energy, the calculation gives -1.26 eV/atom.



Ca2NdCdO: optimized geometry, PBE-GGA. Values from VASP.

Structure (Quantum ESPRESSO input):
```
&SYSTEM
  ibrav = 0, nat = 5, ntyp = 4
/
ATOMIC_SPECIES
Ca 40.08 Ca.upf
Cd 112.41 Cd.upf
O 16.00 O.upf
Nd 144.24 Nd.upf
CELL_PARAMETERS angstrom
5.1111 0.0000 0.0000
0.0000 4.8418 0.0000
0.0000 0.0000 4.8418
ATOMIC_POSITIONS crystal
Ca 0.0000 0.0000 0.5000
Ca 0.0000 0.5000 0.0000
Cd 0.5000 0.5000 0.5000
O 0.0000 0.0000 0.0000
Nd 0.5000 0.0000 0.0000
```

The calculation puts the density of states at the Fermi level at 5.19 states/eV/cell. For the uncorrected formation energy, the calculation gives -1.26 eV/atom.



CaPmNdCd: optimized geometry, PBE-GGA. Values from VASP.

Structure (Quantum ESPRESSO input):
```
&SYSTEM
  ibrav = 0, nat = 4, ntyp = 4
/
ATOMIC_SPECIES
Pm 145.00 Pm.upf
Nd 144.24 Nd.upf
Cd 112.41 Cd.upf
Ca 40.08 Ca.upf
CELL_PARAMETERS angstrom
-0.8474 -3.2800 -1.4486
3.5850 -0.8023 -0.2805
-0.1710 -3.8365 8.7871
ATOMIC_POSITIONS crystal
Pm 0.5000 0.5000 0.3498
Nd 0.0000 0.0000 0.0864
Cd 0.0000 0.0000 0.5662
Ca 0.5000 0.5000 0.7823
```

The formation energy comes out at -0.579 eV per formula unit. The calculation puts the density of states at the Fermi level at 4.97 states/eV/cell. For the offset from the most stable computed form, the calculation gives 0 meV per atom.



CaPmNdCd: optimized geometry, PBE-GGA. Values from VASP.

Structure (Quantum ESPRESSO input):
```
&SYSTEM
  ibrav = 0, nat = 4, ntyp = 4
/
ATOMIC_SPECIES
Nd 144.24 Nd.upf
Cd 112.41 Cd.upf
Ca 40.08 Ca.upf
Pm 145.00 Pm.upf
CELL_PARAMETERS angstrom
5.6265 0.0000 0.0000
2.8132 4.8727 0.0000
2.8132 1.6242 4.5940
ATOMIC_POSITIONS crystal
Nd 0.2500 0.2500 0.2500
Cd 0.0000 0.0000 0.0000
Ca 0.5000 0.5000 0.5000
Pm 0.7500 0.7500 0.7500
```

The formation energy comes out at -0.197 eV per formula unit. The calculation puts the density of states at the Fermi level at 4.86 states/eV/cell. For the offset from the most stable computed form, the calculation gives 96 meV per atom.



CaNdCdPt: optimized geometry, PBE-GGA. Values from VASP.

Structure (Quantum ESPRESSO input):
```
&SYSTEM
  ibrav = 0, nat = 4, ntyp = 4
/
ATOMIC_SPECIES
Nd 144.24 Nd.upf
Pt 195.08 Pt.upf
Cd 112.41 Cd.upf
Ca 40.08 Ca.upf
CELL_PARAMETERS angstrom
5.1913 0.0000 0.0000
2.5956 4.4958 0.0000
2.5956 1.4986 4.2387
ATOMIC_POSITIONS crystal
Nd 0.0000 0.0000 0.0000
Pt 0.7500 0.7500 0.7500
Cd 0.2500 0.2500 0.2500
Ca 0.5000 0.5000 0.5000
```

The formation energy comes out at -2.558 eV per formula unit. The calculation puts the density of states at the Fermi level at 2.74 states/eV/cell.



CaNdCdRu: optimized geometry, PBE-GGA. Values from VASP.

Structure (Quantum ESPRESSO input):
```
&SYSTEM
  ibrav = 0, nat = 4, ntyp = 4
/
ATOMIC_SPECIES
Nd 144.24 Nd.upf
Cd 112.41 Cd.upf
Ca 40.08 Ca.upf
Ru 101.07 Ru.upf
CELL_PARAMETERS angstrom
-0.3473 2.7574 4.3262
-4.3008 -0.1619 2.8137
0.0017 -2.3672 4.5647
ATOMIC_POSITIONS crystal
Nd 0.5000 0.5000 0.5000
Cd 0.7500 0.7500 0.7500
Ca 0.0000 0.0000 0.0000
Ru 0.2500 0.2500 0.2500
```

The formation energy comes out at -0.228 eV per formula unit. The calculation puts the density of states at the Fermi level at 3.34 states/eV/cell.



Ca2NdCdS4: optimized geometry, PBE-GGA. Values from VASP.

Structure (Quantum ESPRESSO input):
```
&SYSTEM
  ibrav = 0, nat = 8, ntyp = 4
/
ATOMIC_SPECIES
Cd 112.41 Cd.upf
S 32.06 S.upf
Nd 144.24 Nd.upf
Ca 40.08 Ca.upf
CELL_PARAMETERS angstrom
-0.2909 -2.5321 3.1052
6.1865 -3.0199 -1.8830
1.1809 5.2319 4.3768
ATOMIC_POSITIONS crystal
Cd 0.0000 0.0000 0.0000
S 0.0000 0.2483 0.7467
S 0.5000 0.7517 0.7556
S 0.0000 0.7517 0.2533
S 0.5000 0.2483 0.2444
Nd 0.5000 0.5000 0.0000
Ca 0.0000 0.5000 0.5000
Ca 0.5000 0.0000 0.5000
```

The calculation puts the density of states at the Fermi level at 3.31 states/eV/cell. For the uncorrected formation energy, the calculation gives -1.65 eV/atom.



CaNdCdSb: optimized geometry, PBE-GGA. Values from VASP.

Structure (Quantum ESPRESSO input):
```
&SYSTEM
  ibrav = 0, nat = 4, ntyp = 4
/
ATOMIC_SPECIES
Ca 40.08 Ca.upf
Sb 121.76 Sb.upf
Nd 144.24 Nd.upf
Cd 112.41 Cd.upf
CELL_PARAMETERS angstrom
5.4407 0.0000 0.0000
2.7203 4.7118 0.0000
2.7203 1.5706 4.4423
ATOMIC_POSITIONS crystal
Ca 0.2500 0.2500 0.2500
Sb 0.5000 0.5000 0.5000
Nd 0.7500 0.7500 0.7500
Cd 0.0000 0.0000 0.0000
```

The calculation puts the density of states at the Fermi level at 4.39 states/eV/cell. For the uncorrected formation energy, the calculation gives -0.56 eV/atom.



CaNdScCd: optimized geometry, PBE-GGA. Values from VASP.

Structure (Quantum ESPRESSO input):
```
&SYSTEM
  ibrav = 0, nat = 4, ntyp = 4
/
ATOMIC_SPECIES
Nd 144.24 Nd.upf
Sc 44.96 Sc.upf
Ca 40.08 Ca.upf
Cd 112.41 Cd.upf
CELL_PARAMETERS angstrom
5.4899 0.0000 0.0000
2.7450 4.7544 0.0000
2.7450 1.5848 4.4825
ATOMIC_POSITIONS crystal
Nd 0.0000 0.0000 0.0000
Sc 0.2500 0.2500 0.2500
Ca 0.5000 0.5000 0.5000
Cd 0.7500 0.7500 0.7500
```

The formation energy comes out at 0.019 eV per formula unit. The calculation puts the density of states at the Fermi level at 4.03 states/eV/cell.



Ca3Nd3CdSe8: optimized geometry, PBE-GGA. Values from VASP.

Structure (Quantum ESPRESSO input):
```
&SYSTEM
  ibrav = 0, nat = 15, ntyp = 4
/
ATOMIC_SPECIES
Nd 144.24 Nd.upf
Se 78.96 Se.upf
Cd 112.41 Cd.upf
Ca 40.08 Ca.upf
CELL_PARAMETERS angstrom
8.3931 0.0000 0.0000
-4.1966 7.2676 -0.0260
0.0000 -4.8218 6.9194
ATOMIC_POSITIONS crystal
Nd 0.5000 0.0000 0.5000
Nd 0.0000 0.5000 0.5000
Nd 0.5000 0.5000 0.5000
Se 0.2453 0.9998 0.7451
Se 0.7512 0.5024 0.7536
Se 0.7545 0.9998 0.7451
Se 0.7548 0.5095 0.2549
Se 0.7547 0.0002 0.2549
Se 0.2452 0.4905 0.7451
Se 0.2455 0.0002 0.2549
Se 0.2488 0.4976 0.2464
Cd 0.0000 0.0000 0.5000
Ca 0.0000 0.5000 0.0000
Ca 0.5000 0.5000 0.0000
Ca 0.0000 0.0000 0.0000
```

The calculation puts the density of states at the Fermi level at 4.16 states/eV/cell. For the uncorrected formation energy, the calculation gives -1.71 eV/atom.



Repeat the seventh record exactly.
CaNdCdPt: optimized geometry, PBE-GGA. Values from VASP.

Structure (Quantum ESPRESSO input):
```
&SYSTEM
  ibrav = 0, nat = 4, ntyp = 4
/
ATOMIC_SPECIES
Nd 144.24 Nd.upf
Pt 195.08 Pt.upf
Cd 112.41 Cd.upf
Ca 40.08 Ca.upf
CELL_PARAMETERS angstrom
5.1913 0.0000 0.0000
2.5956 4.4958 0.0000
2.5956 1.4986 4.2387
ATOMIC_POSITIONS crystal
Nd 0.0000 0.0000 0.0000
Pt 0.7500 0.7500 0.7500
Cd 0.2500 0.2500 0.2500
Ca 0.5000 0.5000 0.5000
```

The formation energy comes out at -2.558 eV per formula unit. The calculation puts the density of states at the Fermi level at 2.74 states/eV/cell.